[1]
Compound: Sc3IrAu2
Source: the Alexandria database
Functional: GGA-PBE
Structure: relaxed

Cell lengths 3.342, 3.342, 10.099 Å; angles 90.00, 90.00, 90.00 degrees
Positions (direct):
Sc 0.000 0.000 0.347
Au 0.500 0.500 0.828
Sc 0.000 0.000 0.000
Sc 0.000 0.000 0.653
Au 0.500 0.500 0.172
Ir 0.500 0.500 0.500

Output
ΔE_f: -5.2 eV per formula unit


[2]
Compound: Fe2CuAs
Source: the Alexandria database
Functional: GGA-PBE
Structure: relaxed

Cell lengths 3.822, 2.685, 5.337 Å; angles 70.07, 90.00, 90.00 degrees
Positions (direct):
As 0.500 0.250 0.250
Fe 0.000 0.074 0.001
Fe 0.000 0.426 0.499
Cu 0.500 0.750 0.750

Output
ΔE_f: 0.6 eV per formula unit


[3]
Compound: BaCa2Sc
Source: the Alexandria database
Functional: GGA-PBE
Structure: relaxed

Cell lengths 5.034, 5.034, 13.520 Å; angles 79.27, 79.27, 90.00 degrees
Positions (direct):
Ca 0.875 0.861 0.750
Sc 0.500 0.500 0.000
Ca 0.611 0.125 0.250
Sc 0.250 0.750 0.500
Ba 0.000 0.000 0.000
Ba 0.750 0.250 0.500
Ca 0.139 0.625 0.250
Ca 0.375 0.389 0.750

Output
Distance to the lowest polymorph of the same formula: 1.24 eV per formula unit
ΔE_f: 2.0 eV per formula unit


[4]
Compound: BeAg2PdRu
Source: the Alexandria database
Functional: GGA-PBE
Structure: relaxed

Cell lengths 4.998, 3.977, 4.998 Å; angles 90.00, 90.00, 90.00 degrees
Positions (direct):
Pd 0.000 0.000 0.000
Be 0.000 0.500 0.000
Ru 0.500 0.500 0.500
Ag 0.000 0.000 0.500
Ag 0.500 0.000 0.000

Output
ΔE_f: 6.0 eV per formula unit


We obtain calculated volume values of 113, 51, 331, 99 Å³ per cell for the records listed above, in that order.
We obtain VASP energy values of -39.59, -25.09, -20.60, -17.89 eV for the cell shown for the records listed above, in that order.